Record 1
## BaYCd2 (PBE)

Data for a relaxed BaYCd2 crystal.

Cell lengths 6.366, 6.366, 6.366 Å; angles 135.28, 135.28, 65.10 degrees
Sites, in units of the cell vectors:
Ba 0.000 0.000 0.000
Y 0.750 0.250 0.500
Cd 0.250 0.750 0.500
Cd 0.500 0.500 0.000

Mass density in g cm⁻³: 5.95
Total moment in Bohr magnetons per cell: 0.00
ΔE_f in kJ per mole of atoms: -2.7

Record 2
## ReIrAu2 (PBE)

Data for a relaxed ReIrAu2 crystal.

Cell lengths 5.858, 5.858, 5.858 Å; angles 101.52, 101.52, 126.91 degrees
Sites, in units of the cell vectors:
Re 0.000 0.000 0.000
Re 0.750 0.250 0.500
Ir 0.250 0.750 0.500
Ir 0.500 0.500 0.000
Au 0.122 0.125 0.497
Au 0.375 0.878 0.003
Au 0.628 0.625 0.503
Au 0.875 0.372 0.997

Mass density in g cm⁻³: 17.84
Total moment in Bohr magnetons per cell: 2.42
ΔE_f in kJ per mole of atoms: 103.1

Record 3
## DyTePt4 (PBE)

Data for a relaxed DyTePt4 crystal.

Cell lengths 5.443, 5.443, 5.443 Å; angles 60.00, 60.00, 60.00 degrees
Sites, in units of the cell vectors:
Dy 0.000 0.000 0.000
Te 0.750 0.750 0.750
Pt 0.375 0.375 0.375
Pt 0.375 0.375 0.876
Pt 0.375 0.876 0.375
Pt 0.876 0.375 0.375

Mass density in g cm⁻³: 15.59
Total moment in Bohr magnetons per cell: 0.00
VASP energy in eV for the cell shown: -35.45

Record 4
## BeTc2Os (PBE)

Data for a relaxed BeTc2Os crystal.

Cell lengths 2.744, 3.787, 5.154 Å; angles 90.00, 90.00, 90.00 degrees
Sites, in units of the cell vectors:
Be 0.000 0.000 0.000
Tc 0.000 0.000 0.493
Tc 0.500 0.500 0.761
Os 0.500 0.500 0.225

Mass density in g cm⁻³: 12.25
Total moment in Bohr magnetons per cell: 0.00
ΔE_f in kJ per mole of atoms: 5.2

Record 5
## Ac2P3PdRh4 (PBE)

Data for a relaxed Ac2P3PdRh4 crystal.

Cell lengths 4.195, 4.195, 10.450 Å; angles 90.00, 90.00, 90.00 degrees
Sites, in units of the cell vectors:
Ac 0.000 0.500 0.239
Ac 0.500 0.000 0.761
P 0.000 0.000 0.000
P 0.000 0.500 0.625
P 0.500 0.000 0.375
Pd 0.500 0.500 0.000
Rh 0.000 0.000 0.500
Rh 0.000 0.500 0.845
Rh 0.500 0.000 0.155
Rh 0.500 0.500 0.500

Mass density in g cm⁻³: 9.62
Total moment in Bohr magnetons per cell: 0.00
ΔE_f in kJ per mole of atoms: -85.4

Record 6
## RbCaCu2Pd (PBE)

Data for a relaxed RbCaCu2Pd crystal.

Cell lengths 5.567, 5.567, 5.252 Å; angles 90.00, 90.00, 90.00 degrees
Sites, in units of the cell vectors:
Rb 0.000 0.000 0.000
Ca 0.500 0.500 0.500
Cu 0.000 0.500 0.500
Cu 0.500 0.000 0.500
Pd 0.500 0.500 0.000

Mass density in g cm⁻³: 3.66
Total moment in Bohr magnetons per cell: 0.00
ΔE_f in kJ per mole of atoms: 58.1

Record 7
## SrHg2Au4 (PBE)

Data for a relaxed SrHg2Au4 crystal.

Cell lengths 6.773, 6.773, 6.773 Å; angles 100.17, 100.17, 130.32 degrees
Sites, in units of the cell vectors:
Sr 0.000 0.000 0.000
Hg 0.250 0.750 0.500
Hg 0.750 0.250 0.500
Au 0.279 0.500 0.779
Au 0.500 0.279 0.779
Au 0.500 0.721 0.221
Au 0.721 0.500 0.221

Mass density in g cm⁻³: 9.86
Total moment in Bohr magnetons per cell: 0.00
ΔE_f in kJ per mole of atoms: -4.3

Record 8
## Th3PdAu3 (PBE)

Data for a relaxed Th3PdAu3 crystal.

Cell lengths 10.544, 10.544, 10.544 Å; angles 159.87, 154.53, 32.68 degrees
Sites, in units of the cell vectors:
Th 0.000 0.000 0.000
Th 0.375 0.375 0.000
Th 0.694 0.194 0.500
Pd 0.258 0.758 0.500
Au 0.124 0.624 0.500
Au 0.541 0.541 0.000
Au 0.837 0.837 0.000

Mass density in g cm⁻³: 13.35
Total moment in Bohr magnetons per cell: 0.00
ΔE_f in kJ per mole of atoms: -64.8

Record 9
## YTiSbTe2 (PBE)

Data for a relaxed YTiSbTe2 crystal.

Cell lengths 5.697, 5.697, 5.312 Å; angles 90.00, 90.00, 90.00 degrees
Sites, in units of the cell vectors:
Y 0.000 0.000 0.000
Ti 0.000 0.000 0.500
Sb 0.500 0.500 0.500
Te 0.000 0.500 0.000
Te 0.500 0.000 0.000

Mass density in g cm⁻³: 4.95
Total moment in Bohr magnetons per cell: 0.00
VASP energy in eV for the cell shown: -21.44

Record 10
## Yb4FeS7 (PBE)

Data for a relaxed Yb4FeS7 crystal.

Cell lengths 6.809, 6.809, 10.393 Å; angles 103.15, 103.15, 32.50 degrees
Sites, in units of the cell vectors:
Yb 0.000 0.000 0.000
Yb 0.063 0.063 0.461
Yb 0.381 0.381 0.648
Yb 0.782 0.782 0.221
Fe 0.198 0.198 0.869
S 0.033 0.033 0.724
S 0.135 0.135 0.243
S 0.355 0.355 0.036
S 0.412 0.412 0.397
S 0.646 0.646 0.975
S 0.722 0.722 0.561
S 0.758 0.758 0.777

Mass density in g cm⁻³: 6.42
Total moment in Bohr magnetons per cell: 1.16
VASP energy in eV for the cell shown: -60.31

Record 11
## Zr3Cu (PBE)

Data for a relaxed Zr3Cu crystal.

Cell lengths 3.210, 3.210, 7.946 Å; angles 90.00, 90.00, 90.00 degrees
Sites, in units of the cell vectors:
Zr 0.000 0.000 0.000
Zr 0.500 0.500 0.279
Zr 0.500 0.500 0.721
Cu 0.000 0.000 0.500

Mass density in g cm⁻³: 6.84
Total moment in Bohr magnetons per cell: 0.00
ΔE_f in kJ per mole of atoms: -8.2

Record 12
## KNi5Se8 (PBE)

Data for a relaxed KNi5Se8 crystal.

Cell lengths 9.454, 9.454, 8.446 Å; angles 105.91, 105.91, 22.09 degrees
Sites, in units of the cell vectors:
K 0.000 0.000 0.000
Ni 0.161 0.161 0.495
Ni 0.204 0.204 0.823
Ni 0.500 0.500 0.500
Ni 0.796 0.796 0.177
Ni 0.839 0.839 0.505
Se 0.070 0.070 0.665
Se 0.258 0.258 0.344
Se 0.327 0.327 0.018
Se 0.411 0.411 0.656
Se 0.589 0.589 0.344
Se 0.673 0.673 0.982
Se 0.742 0.742 0.656
Se 0.930 0.930 0.335

Mass density in g cm⁻³: 5.87
Total moment in Bohr magnetons per cell: 0.00
VASP energy in eV for the cell shown: -62.97

Record 13
## FeSiOs2 (PBE)

Data for a relaxed FeSiOs2 crystal.

Cell lengths 2.773, 2.773, 6.563 Å; angles 90.00, 90.00, 90.00 degrees
Sites, in units of the cell vectors:
Fe 0.000 0.000 0.000
Si 0.500 0.500 0.808
Os 0.000 0.000 0.560
Os 0.500 0.500 0.278

Mass density in g cm⁻³: 15.28
Total moment in Bohr magnetons per cell: 0.00
VASP energy in eV for the cell shown: -36.75

Record 14
## Li2Pr3Al (PBE)

Data for a relaxed Li2Pr3Al crystal.

Cell lengths 5.374, 5.374, 13.189 Å; angles 90.00, 90.00, 120.00 degrees
Sites, in units of the cell vectors:
Li 0.000 0.000 0.000
Li 0.000 0.000 0.500
Li 0.333 0.667 0.171
Li 0.667 0.333 0.829
Pr 0.000 0.000 0.255
Pr 0.000 0.000 0.745
Pr 0.333 0.667 0.419
Pr 0.333 0.667 0.913
Pr 0.667 0.333 0.087
Pr 0.667 0.333 0.581
Al 0.333 0.667 0.667
Al 0.667 0.333 0.333

Mass density in g cm⁻³: 4.67
Total moment in Bohr magnetons per cell: 0.00
ΔE_f in kJ per mole of atoms: -7.6

Record 15
## TbPmPr3 (PBE)

Data for a relaxed TbPmPr3 crystal.

Cell lengths 8.206, 8.206, 6.293 Å; angles 90.00, 90.00, 120.19 degrees
Sites, in units of the cell vectors:
Tb 0.170 0.830 0.750
Tb 0.830 0.170 0.250
Pm 0.300 0.700 0.250
Pm 0.700 0.300 0.750
Pr 0.097 0.302 0.750
Pr 0.302 0.097 0.250
Pr 0.500 0.500 0.000
Pr 0.500 0.500 0.500
Pr 0.698 0.903 0.750
Pr 0.903 0.698 0.250

Mass density in g cm⁻³: 6.59
Total moment in Bohr magnetons per cell: 0.00
ΔE_f in kJ per mole of atoms: 30.5

Record 16
## BaZnPt (PBE)

Data for a relaxed BaZnPt crystal.

Cell lengths 4.915, 4.915, 4.915 Å; angles 60.00, 60.00, 60.00 degrees
Sites, in units of the cell vectors:
Ba 0.000 0.000 0.000
Zn 0.250 0.250 0.250
Pt 0.500 0.500 0.500

Mass density in g cm⁻³: 7.87
Total moment in Bohr magnetons per cell: 0.00
ΔE_f in kJ per mole of atoms: -20.6

Record 17
## Pr2Tm5Sc (PBE)

Data for a relaxed Pr2Tm5Sc crystal.

Cell lengths 6.509, 6.509, 15.481 Å; angles 90.00, 90.00, 129.78 degrees
Sites, in units of the cell vectors:
Pr 0.218 0.782 0.631
Pr 0.218 0.782 0.869
Pr 0.782 0.218 0.131
Pr 0.782 0.218 0.369
Tm 0.082 0.918 0.093
Tm 0.082 0.918 0.407
Tm 0.384 0.616 0.051
Tm 0.384 0.616 0.449
Tm 0.463 0.537 0.750
Tm 0.537 0.463 0.250
Tm 0.616 0.384 0.551
Tm 0.616 0.384 0.949
Tm 0.918 0.082 0.593
Tm 0.918 0.082 0.907
Sc 0.266 0.734 0.250
Sc 0.734 0.266 0.750

Mass density in g cm⁻³: 7.72
Total moment in Bohr magnetons per cell: 0.00
ΔE_f in kJ per mole of atoms: 13.4

Record 18
## GdPaNi2 (PBE)

Data for a relaxed GdPaNi2 crystal.

Cell lengths 4.780, 4.780, 4.780 Å; angles 60.00, 60.00, 60.00 degrees
Sites, in units of the cell vectors:
Gd 0.000 0.000 0.000
Pa 0.500 0.500 0.500
Ni 0.250 0.250 0.250
Ni 0.750 0.750 0.750

Mass density in g cm⁻³: 10.88
Total moment in Bohr magnetons per cell: 7.48
ΔE_f in kJ per mole of atoms: -18.4

Record 19
## Sr2In6HgGe (PBE)

Data for a relaxed Sr2In6HgGe crystal.

Cell lengths 6.131, 9.370, 10.853 Å; angles 90.00, 90.00, 90.00 degrees
Sites, in units of the cell vectors:
Sr 0.250 0.002 0.224
Sr 0.250 0.498 0.224
Sr 0.750 0.502 0.776
Sr 0.750 0.998 0.776
In 0.001 0.250 0.506
In 0.002 0.750 0.996
In 0.250 0.506 0.615
In 0.250 0.994 0.615
In 0.498 0.750 0.996
In 0.499 0.250 0.506
In 0.501 0.750 0.494
In 0.502 0.250 0.004
In 0.750 0.006 0.385
In 0.750 0.494 0.385
In 0.998 0.250 0.004
In 0.999 0.750 0.494
Hg 0.250 0.250 0.778
Hg 0.750 0.750 0.222
Ge 0.250 0.750 0.775
Ge 0.750 0.250 0.225

Mass density in g cm⁻³: 6.06
Total moment in Bohr magnetons per cell: 0.00
ΔE_f in kJ per mole of atoms: -11.6

Record 20
## Rb8BiP2 (PBE)

Data for a relaxed Rb8BiP2 crystal.

Cell lengths 10.448, 10.448, 10.448 Å; angles 148.01, 127.70, 62.64 degrees
Sites, in units of the cell vectors:
Rb 0.117 0.336 0.781
Rb 0.156 0.156 0.000
Rb 0.303 0.000 0.303
Rb 0.446 0.664 0.781
Rb 0.554 0.336 0.219
Rb 0.697 0.000 0.697
Rb 0.844 0.844 0.000
Rb 0.883 0.664 0.219
Bi 0.000 0.500 0.500
P 0.316 0.816 0.500
P 0.684 0.184 0.500

Mass density in g cm⁻³: 3.35
Total moment in Bohr magnetons per cell: 1.13
ΔE_f in kJ per mole of atoms: -15.6